# 1
Cs3Tm2ThSe6 (GGA-PBE, optimized geometry); symmetry = C2/m; crystal system = monoclinic; Fermi-level density of states = 4.04 states/eV per cell; density = 6.08 Mg/m³; formation energy from raw total energies = -1.640 eV/atom; E = -4.9596 eV per atom
1.0
7.353 -0.002 0.000
-3.676 6.368 0.000
-1.226 -2.123 8.417
Cs Tm Th Se
3 2 1 6
Direct
0.166 0.834 0.500
0.834 0.166 0.500
0.500 0.500 0.500
0.333 0.667 0.000
0.667 0.333 0.000
0.000 0.000 0.000
0.938 0.598 0.813
0.722 0.722 0.186
0.062 0.402 0.187
0.598 0.938 0.813
0.278 0.278 0.814
0.402 0.062 0.187



# 2
Tb4Nd2Sb3N2 (GGA-PBE, optimized geometry); symmetry = I4/mmm; crystal system = tetragonal; Fermi-level density of states = 6.40 states/eV per cell; density = 7.78 Mg/m³; formation energy from raw total energies = -1.202 eV/atom; E = -6.3903 eV per atom
1.0
4.687 0.000 0.000
0.000 4.687 0.000
-2.343 -2.343 12.801
Tb Nd Sb N
4 2 3 2
Direct
0.418 0.918 0.835
0.918 0.418 0.835
0.082 0.582 0.165
0.582 0.082 0.165
0.307 0.307 0.613
0.693 0.693 0.387
0.000 0.000 0.000
0.176 0.176 0.353
0.824 0.824 0.647
0.401 0.401 0.802
0.599 0.599 0.198



# 3
Tl8SeBr6 (GGA-PBE, optimized geometry); symmetry = R-3; crystal system = trigonal; Fermi-level density of states = 0.00 states/eV per cell; density = 6.49 Mg/m³; formation energy from raw total energies = -0.698 eV/atom; E = -2.8618 eV per atom
1.0
8.521 -1.169 -1.208
-1.435 8.480 -1.208
-1.435 -1.480 8.437
Tl Se Br
8 1 6
Direct
0.683 0.683 0.683
0.317 0.317 0.317
0.674 0.801 0.108
0.801 0.108 0.674
0.108 0.674 0.801
0.326 0.199 0.892
0.199 0.892 0.326
0.892 0.326 0.199
0.000 0.000 0.000
0.718 0.423 0.877
0.423 0.877 0.718
0.877 0.718 0.423
0.282 0.577 0.123
0.577 0.123 0.282
0.123 0.282 0.577



# 4
Sc2CoSe (GGA-PBE, optimized geometry); symmetry = Amm2; crystal system = orthorhombic; Fermi-level density of states = 2.69 states/eV per cell; density = 5.40 Mg/m³; formation energy from raw total energies = -0.860 eV/atom; E = -6.6734 eV per atom
1.0
3.871 0.000 0.000
0.000 3.620 0.005
0.000 1.804 5.005
Co Sc Se
1 2 1
Direct
0.500 0.536 0.803
0.000 0.985 0.905
0.500 0.278 0.320
0.000 0.702 0.472



# 5
AcPuCdSi (GGA-PBE, optimized geometry); symmetry = F-43m; crystal system = cubic; Fermi-level density of states = 10.62 states/eV per cell; density = 9.15 Mg/m³; formation energy from raw total energies = -0.139 eV/atom; E = -6.3333 eV per atom
1.0
5.395 0.000 0.000
2.697 4.672 0.000
2.697 1.557 4.405
Ac Cd Si Pu
1 1 1 1
Direct
0.500 0.500 0.500
0.250 0.250 0.250
0.750 0.750 0.750
0.000 0.000 0.000



# 6
RbNa2HgO2 (GGA-PBE, optimized geometry); symmetry = Pnnm; crystal system = orthorhombic; Fermi-level density of states = 4.41 states/eV per cell; density = 4.68 Mg/m³; formation energy from raw total energies = -0.873 eV/atom; E = -3.1773 eV per atom
1.0
3.991 0.000 0.000
0.000 5.976 0.000
0.000 0.000 10.825
Rb Na Hg O
2 4 2 4
Direct
0.500 0.500 0.000
0.000 0.000 0.500
0.500 0.087 0.230
0.000 0.587 0.270
0.500 0.913 0.770
0.000 0.413 0.730
0.000 0.000 0.000
0.500 0.500 0.500
0.500 0.748 0.344
0.500 0.252 0.656
0.000 0.752 0.844
0.000 0.248 0.156



# 7
CoHg2Os (GGA-PBE, optimized geometry); symmetry = R3m; crystal system = trigonal; Fermi-level density of states = 2.01 states/eV per cell; polymorph energy (0 for the lowest one) = 0.29 eV per formula unit; density = 15.61 Mg/m³; E = -4.2081 eV per atom; energy relative to the elements = 0.527 eV per atom
1.0
9.917 0.024 0.014
9.498 2.851 0.014
9.498 1.407 2.480
Co Hg Os
1 2 1
Direct
0.758 0.758 0.758
0.012 0.012 0.012
0.242 0.242 0.242
0.488 0.488 0.488



# 8
FeHg4Br (GGA-PBE, optimized geometry); symmetry = F-43m; crystal system = cubic; Fermi-level density of states = 6.98 states/eV per cell; density = 9.80 Mg/m³; formation energy from raw total energies = 0.515 eV/atom; E = -1.3750 eV per atom
1.0
0.000 4.300 4.300
4.300 0.000 4.300
4.300 4.300 0.000
Fe Hg Br
1 4 1
Direct
0.000 0.000 0.000
0.375 0.876 0.375
0.876 0.375 0.375
0.375 0.375 0.876
0.375 0.375 0.375
0.750 0.750 0.750



# 9
PmNdAg2 (GGA-PBE, optimized geometry); symmetry = Fm-3m; crystal system = cubic; Fermi-level density of states = 4.08 states/eV per cell; polymorph energy (0 for the lowest one) = 0.03 eV per formula unit; density = 7.97 Mg/m³; E = -4.0629 eV per atom; energy relative to the elements = -0.258 eV per atom
1.0
-5.266 0.098 -0.578
-2.652 -4.501 -0.884
-3.118 -2.023 3.776
Nd Ag Pm
1 2 1
Direct
0.500 0.500 0.500
0.250 0.250 0.250
0.750 0.750 0.750
0.000 0.000 0.000



# 10
BaSnI2O (GGA-PBE, optimized geometry); symmetry = P4/mmm; crystal system = tetragonal; Fermi-level density of states = 3.70 states/eV per cell; polymorph energy (0 for the lowest one) = 2.00 eV per formula unit; density = 4.25 Mg/m³; formation energy from raw total energies = -0.624 eV/atom; E = -3.4208 eV per atom
1.0
-4.888 -4.464 1.427
4.686 -4.643 1.531
-0.020 1.385 4.262
I Ba O Sn
2 1 1 1
Direct
0.000 0.500 0.000
0.500 0.000 0.000
0.000 0.000 0.000
0.000 0.000 0.500
0.500 0.500 0.500



# 11
BeCu2W (GGA-PBE, optimized geometry); symmetry = P4/mmm; crystal system = tetragonal; Fermi-level density of states = 2.54 states/eV per cell; polymorph energy (0 for the lowest one) = 0.98 eV per formula unit; density = 10.87 Mg/m³; E = -5.9004 eV per atom; energy relative to the elements = 0.318 eV per atom
1.0
4.050 0.000 0.000
0.000 3.474 0.000
0.000 0.000 3.474
Be Cu W
1 2 1
Direct
0.500 0.000 0.500
0.000 0.000 0.000
0.000 0.500 0.500
0.500 0.500 0.000



# 12
Sm3GaIr8 (GGA-PBE, optimized geometry); symmetry = R3m; crystal system = trigonal; Fermi-level density of states = 16.79 states/eV per cell; density = 15.58 Mg/m³; E = -7.8697 eV per atom; energy relative to the elements = -0.530 eV per atom
1.0
-2.311 -3.030 3.801
1.729 0.285 5.089
-5.947 5.474 4.560
Sm Ga Ir
3 1 8
Direct
0.624 0.624 0.129
0.007 0.007 0.978
0.495 0.495 0.515
0.136 0.136 0.593
0.561 0.062 0.815
0.061 0.561 0.318
0.561 0.561 0.815
0.061 0.061 0.318
0.810 0.810 0.570
0.311 0.311 0.068
0.062 0.561 0.815
0.561 0.061 0.318



# 13
BaGeF (GGA-PBE, optimized geometry); symmetry = R-3m; crystal system = trigonal; Fermi-level density of states = 1.13 states/eV per cell; polymorph energy (0 for the lowest one) = 0.00 eV per formula unit; density = 5.10 Mg/m³; formation energy from raw total energies = -2.149 eV/atom; E = -4.9532 eV per atom
1.0
-1.201 0.489 4.139
3.454 -2.436 -0.983
3.488 8.822 -0.031
Ba Ge F
2 2 2
Direct
0.599 0.198 0.297
0.401 0.802 0.703
0.851 0.702 0.052
0.149 0.298 0.948
0.302 0.604 0.405
0.698 0.396 0.595



# 14
Ba3CdAg (GGA-PBE, optimized geometry); symmetry = C2/m; crystal system = monoclinic; Fermi-level density of states = 11.32 states/eV per cell; polymorph energy (0 for the lowest one) = 0.00 eV per formula unit; density = 4.67 Mg/m³; E = -2.0957 eV per atom; energy relative to the elements = -0.189 eV per atom
1.0
2.341 11.994 0.018
-2.341 11.994 0.018
0.000 1.021 8.002
Ba Cd Ag
6 2 2
Direct
0.012 0.012 0.256
0.988 0.988 0.744
0.635 0.635 0.888
0.365 0.365 0.112
0.822 0.822 0.594
0.178 0.178 0.406
0.244 0.244 0.879
0.756 0.756 0.121
0.432 0.432 0.496
0.568 0.568 0.504



# 15
YBeRe2 (GGA-PBE, optimized geometry); symmetry = R-3m; crystal system = trigonal; Fermi-level density of states = 5.13 states/eV per cell; density = 12.23 Mg/m³; E = -8.1697 eV per atom; energy relative to the elements = 0.602 eV per atom
1.0
-3.875 5.344 6.689
-4.898 2.841 7.500
-2.329 3.654 8.339
Y Re Be
1 2 1
Direct
0.750 0.750 0.750
0.986 0.986 0.986
0.514 0.514 0.514
0.250 0.250 0.250



# 16
Ba2HgI (GGA-PBE, optimized geometry); symmetry = R-3m; crystal system = trigonal; Fermi-level density of states = 4.54 states/eV per cell; polymorph energy (0 for the lowest one) = 0.00 eV per formula unit; density = 5.48 Mg/m³; formation energy from raw total energies = -0.904 eV/atom; E = -2.3285 eV per atom
1.0
-2.758 0.688 3.883
-4.333 -2.076 0.272
1.378 -7.753 5.335
I Hg Ba
1 1 2
Direct
0.500 0.500 0.500
0.000 0.000 0.000
0.258 0.258 0.227
0.742 0.742 0.773



# 17
BeInF6 (GGA-PBE, optimized geometry); symmetry = R-3; crystal system = trigonal; Fermi-level density of states = 8.88 states/eV per cell; density = 4.09 Mg/m³; formation energy from raw total energies = -2.264 eV/atom; E = -4.4759 eV per atom
1.0
-2.455 -4.230 -1.045
1.393 -2.800 -3.901
2.442 -4.618 0.981
Be In F
1 1 6
Direct
0.000 0.000 0.000
0.500 0.500 0.500
0.098 0.348 0.773
0.781 0.098 0.773
0.652 0.219 0.227
0.219 0.902 0.227
0.902 0.652 0.227
0.348 0.781 0.773



# 18
Th2W2N7 (GGA-PBE, optimized geometry); symmetry = C2/m; crystal system = monoclinic; Fermi-level density of states = 8.16 states/eV per cell; density = 8.24 Mg/m³; formation energy from raw total energies = -0.868 eV/atom; E = -9.8705 eV per atom
1.0
-0.562 -2.999 5.349
1.592 -4.681 -1.710
5.073 1.414 3.191
Th W N
2 2 7
Direct
0.697 0.500 0.697
0.303 0.500 0.303
0.769 0.908 0.231
0.231 0.092 0.769
0.085 0.288 0.599
0.599 0.712 0.085
0.915 0.712 0.401
0.401 0.288 0.915
0.000 0.000 0.000
0.404 0.774 0.596
0.596 0.226 0.404



# 19
TbPu2Si6 (GGA-PBE, optimized geometry); symmetry = P6/mmm; crystal system = hexagonal; Fermi-level density of states = 19.06 states/eV per cell; density = 8.10 Mg/m³; formation energy from raw total energies = -0.506 eV/atom; E = -7.8203 eV per atom
1.0
3.908 0.000 0.000
0.000 6.087 -3.515
0.000 0.000 7.029
Tb Pu Si
1 2 6
Direct
0.000 0.000 0.000
0.000 0.333 0.667
0.000 0.667 0.333
0.500 0.333 0.333
0.500 0.667 0.667
0.500 0.000 0.667
0.500 0.667 0.000
0.500 0.333 0.000
0.500 0.000 0.333



# 20
Dy2Er7Sc3 (GGA-PBE, optimized geometry); symmetry = Cmmm; crystal system = orthorhombic; Fermi-level density of states = 17.44 states/eV per cell; density = 7.67 Mg/m³; E = -4.8470 eV per atom; energy relative to the elements = 0.165 eV per atom
1.0
3.488 0.000 0.000
0.000 5.527 0.000
0.000 -2.764 18.316
Dy Er Sc
2 7 3
Direct
0.000 0.851 0.702
0.000 0.149 0.298
0.000 0.408 0.817
0.000 0.768 0.536
0.000 0.000 0.000
0.000 0.592 0.183
0.500 0.072 0.143
0.500 0.928 0.857
0.000 0.232 0.464
0.500 0.500 0.000
0.500 0.686 0.372
0.500 0.314 0.628



# 21
Np3Te2N2 (GGA-PBE, optimized geometry); symmetry = C2/m; crystal system = monoclinic; Fermi-level density of states = 20.36 states/eV per cell; density = 10.70 Mg/m³; formation energy from raw total energies = -1.013 eV/atom; E = -9.8354 eV per atom
1.0
3.762 0.000 1.081
1.285 5.713 2.616
0.028 -0.511 6.988
Np Te N
3 2 2
Direct
0.000 0.000 0.000
0.811 0.608 0.771
0.189 0.392 0.229
0.577 0.203 0.644
0.423 0.797 0.356
0.799 0.327 0.075
0.201 0.673 0.925



# 22
CaMgO3 (GGA-PBE, optimized geometry); symmetry = Pm-3m; crystal system = cubic; Fermi-level density of states = 3.42 states/eV per cell; density = 3.19 Mg/m³; formation energy from raw total energies = -1.807 eV/atom; E = -5.5014 eV per atom
1.0
3.883 0.000 0.000
0.000 3.883 0.000
0.000 0.000 3.883
Ca Mg O
1 1 3
Direct
0.500 0.500 0.500
0.000 0.000 0.000
0.000 0.500 0.000
0.000 0.000 0.500
0.500 0.000 0.000



# 23
Pm3Ag8Sn (GGA-PBE, optimized geometry); symmetry = R3m; crystal system = trigonal; Fermi-level density of states = 7.29 states/eV per cell; density = 8.86 Mg/m³; E = -3.6189 eV per atom; energy relative to the elements = -0.197 eV per atom
1.0
-5.068 -1.867 -1.878
-4.079 -1.447 3.738
-6.258 7.702 0.527
Pm Ag Sn
3 8 1
Direct
0.378 0.378 0.865
0.994 0.994 0.019
0.503 0.503 0.490
0.942 0.437 0.184
0.436 0.938 0.689
0.437 0.437 0.184
0.938 0.938 0.689
0.188 0.188 0.436
0.688 0.688 0.937
0.437 0.942 0.184
0.938 0.436 0.689
0.871 0.871 0.386



# 24
TaGa2Re (GGA-PBE, optimized geometry); symmetry = Fm-3m; crystal system = cubic; Fermi-level density of states = 2.31 states/eV per cell; polymorph energy (0 for the lowest one) = 0.00 eV per formula unit; density = 13.60 Mg/m³; E = -7.4317 eV per atom; energy relative to the elements = 0.157 eV per atom
1.0
0.000 3.139 3.139
3.139 0.000 3.139
3.139 3.139 0.000
Re Ga Ta
1 2 1
Direct
0.500 0.500 0.500
0.250 0.250 0.250
0.750 0.750 0.750
0.000 0.000 0.000



# 25
InCuHg2 (GGA-PBE, optimized geometry); symmetry = Pmmm; crystal system = orthorhombic; Fermi-level density of states = 1.50 states/eV per cell; density = 10.84 Mg/m³; E = -1.6201 eV per atom; energy relative to the elements = 0.239 eV per atom
1.0
-0.298 -0.026 -3.452
-0.187 -5.099 0.055
-4.996 0.188 0.429
Cu Hg In
1 2 1
Direct
0.000 0.500 0.500
0.000 0.000 0.000
0.500 0.500 0.000
0.500 0.000 0.500